First-principles (GGA-PBE) data for an optimized crystal structure of POs2PbF, as listed in the Alexandria database.

Lattice parameters (Å, degrees): 4.355 4.355 4.429 90.00 90.00 90.00
Sites, in units of the cell vectors:
P (0.000, 0.000, 0.000)
Os (0.000, 0.500, 0.500)
Os (0.500, 0.000, 0.500)
Pb (0.500, 0.500, 0.000)
F (0.000, 0.000, 0.500)

Results
Space-group type: No. 123
Uncorrected energy in hartree per atom: -0.1927
Density of states at the Fermi level in states/eV/atom: 1.2052

First-principles (GGA-PBE) data for an optimized crystal structure of PrPOsF, as listed in the Alexandria database.

Lattice parameters (Å, degrees): 4.039 4.039 8.386 90.00 90.00 90.00
Sites, in units of the cell vectors:
Pr (0.250, 0.250, 0.191)
Pr (0.750, 0.750, 0.809)
P (0.250, 0.250, 0.647)
P (0.750, 0.750, 0.353)
Os (0.250, 0.750, 0.500)
Os (0.750, 0.250, 0.500)
F (0.250, 0.750, 0.000)
F (0.750, 0.250, 0.000)

Results
Space-group type: No. 129
Uncorrected energy in hartree per atom: -0.2832
Density of states at the Fermi level in states/eV/atom: 0.6396

First-principles (GGA-PBE) data for an optimized crystal structure of POsS2F, as listed in the Alexandria database.

Lattice parameters (Å, degrees): 4.558 4.558 4.635 90.00 90.00 90.00
Sites, in units of the cell vectors:
P (0.000, 0.000, 0.000)
Os (0.000, 0.000, 0.500)
S (0.000, 0.500, 0.500)
S (0.500, 0.000, 0.500)
F (0.500, 0.500, 0.000)

Results
Energy above the lowest structure with this stoichiometry in meV per atom: 0.0
Space-group type: No. 123
Uncorrected energy in hartree per atom: -0.1810
Density of states at the Fermi level in states/eV/atom: 1.0327

First-principles (GGA-PBE) data for an optimized crystal structure of POsS2F, as listed in the Alexandria database.

Lattice parameters (Å, degrees): 4.490 4.490 3.763 90.00 90.00 90.00
Sites, in units of the cell vectors:
P (0.000, 0.000, 0.000)
Os (0.500, 0.500, 0.000)
S (0.000, 0.500, 0.500)
S (0.500, 0.000, 0.500)
F (0.000, 0.000, 0.500)

Results
Energy above the lowest structure with this stoichiometry in meV per atom: 889.4
Space-group type: No. 123
Uncorrected energy in hartree per atom: -0.1483
Density of states at the Fermi level in states/eV/atom: 0.8612

First-principles (GGA-PBE) data for an optimized crystal structure of SnP2OsF, as listed in the Alexandria database.

Lattice parameters (Å, degrees): 5.008 5.008 5.149 90.00 90.00 90.00
Sites, in units of the cell vectors:
Sn (0.000, 0.000, 0.000)
P (0.000, 0.500, 0.000)
P (0.500, 0.000, 0.000)
Os (0.000, 0.000, 0.500)
F (0.500, 0.500, 0.500)

Results
Space-group type: No. 123
Uncorrected energy in hartree per atom: -0.1437
Density of states at the Fermi level in states/eV/atom: 1.0515

First-principles (GGA-PBE) data for an optimized crystal structure of TePOsF2, as listed in the Alexandria database.

Lattice parameters (Å, degrees): 4.076 4.076 5.779 90.00 90.00 90.00
Sites, in units of the cell vectors:
Te (0.000, 0.000, 0.000)
P (0.000, 0.000, 0.500)
Os (0.500, 0.500, 0.500)
F (0.000, 0.500, 0.000)
F (0.500, 0.000, 0.000)

Results
Space-group type: No. 123
Uncorrected energy in hartree per atom: -0.1591
Density of states at the Fermi level in states/eV/atom: 0.6975

First-principles (GGA-PBE) data for an optimized crystal structure of TiP2OsF, as listed in the Alexandria database.

Lattice parameters (Å, degrees): 4.721 4.721 3.623 90.00 90.00 90.00
Sites, in units of the cell vectors:
Ti (0.000, 0.000, 0.000)
P (0.000, 0.500, 0.000)
P (0.500, 0.000, 0.000)
Os (0.500, 0.500, 0.500)
F (0.000, 0.000, 0.500)

Results
Space-group type: No. 123
Uncorrected energy in hartree per atom: -0.2336
Density of states at the Fermi level in states/eV/atom: 0.8990

First-principles (GGA-PBE) data for an optimized crystal structure of TlPOsF2, as listed in the Alexandria database.

Lattice parameters (Å, degrees): 3.899 3.899 6.414 90.00 90.00 90.00
Sites, in units of the cell vectors:
Tl (0.000, 0.000, 0.000)
P (0.000, 0.000, 0.500)
Os (0.500, 0.500, 0.000)
F (0.000, 0.500, 0.500)
F (0.500, 0.000, 0.500)

Results
Space-group type: No. 123
Uncorrected energy in hartree per atom: -0.1603
Density of states at the Fermi level in states/eV/atom: 1.0381

Let's list energy relative to the elements, uncorrected in order: 1.4466, -1.8826, 0.4272, 1.3167, 1.6757, 0.3766, 0.0053, 0.1889 eV per atom.